Material: Cs2KAgBr6
Method: DFT, GGA-PBE
State: optimized geometry

Lattice parameters (Å, degrees): 8.195 8.195 8.195 60.00 60.00 60.00
Element x y z (fractional)
Cs 0.250 0.250 0.250
Cs 0.750 0.750 0.750
K 0.000 0.000 0.000
Ag 0.500 0.500 0.500
Br 0.269 0.269 0.731
Br 0.269 0.731 0.269
Br 0.269 0.731 0.731
Br 0.731 0.269 0.269
Br 0.731 0.269 0.731
Br 0.731 0.731 0.269

Energy, eV/atom: -2.628
Crystal system: cubic
Space-group type: Fm-3m (225)

---

Material: PmZrW
Method: DFT, GGA-PBE
State: optimized geometry

Lattice parameters (Å, degrees): 4.735 4.735 4.735 60.00 60.00 60.00
Element x y z (fractional)
Pm 0.000 0.000 0.000
Zr 0.250 0.250 0.250
W 0.750 0.750 0.750

Energy above the lowest structure with this stoichiometry, kJ/mol of atoms: 83.6
Crystal system: cubic
Space-group type: F-43m (216)
Energy of formation from the pure elements, eV per formula unit: 4.8

---

Material: Y2Ga2CuAg
Method: DFT, GGA-PBE
State: optimized geometry

Lattice parameters (Å, degrees): 4.493 4.493 7.046 90.00 90.00 120.00
Element x y z (fractional)
Y 0.000 0.000 0.000
Y 0.000 0.000 0.487
Ga 0.333 0.667 0.223
Ga 0.333 0.667 0.773
Cu 0.667 0.333 0.250
Ag 0.667 0.333 0.734

Energy, eV/atom: -4.763
Crystal system: trigonal
Space-group type: P3m1 (156)

---

Material: TbDyCo2Sn4
Method: DFT, GGA-PBE
State: optimized geometry

Lattice parameters (Å, degrees): 4.456 9.405 9.405 26.78 90.00 90.00
Element x y z (fractional)
Tb 0.000 0.000 0.000
Dy 0.500 0.772 0.772
Co 0.000 0.207 0.207
Co 0.500 0.566 0.566
Sn 0.000 0.338 0.338
Sn 0.000 0.635 0.635
Sn 0.500 0.138 0.138
Sn 0.500 0.434 0.434

Energy, eV/atom: -5.325
Crystal system: orthorhombic
Space-group type: Amm2 (38)

---

Material: PrGdGa6
Method: DFT, GGA-PBE
State: optimized geometry

Lattice parameters (Å, degrees): 6.383 6.383 4.550 90.00 90.00 120.00
Element x y z (fractional)
Pr 0.000 0.000 0.000
Gd 0.333 0.667 0.500
Ga 0.380 0.190 0.500
Ga 0.520 0.041 0.000
Ga 0.520 0.480 0.000
Ga 0.810 0.190 0.500
Ga 0.810 0.620 0.500
Ga 0.959 0.480 0.000

Energy, eV/atom: -4.013
Crystal system: hexagonal
Space-group type: P-6m2 (187)

---

Material: NaYHgSe3
Method: DFT, GGA-PBE
State: optimized geometry

Lattice parameters (Å, degrees): 11.138 4.158 13.832 90.00 90.00 90.00
Element x y z (fractional)
Na 0.219 0.250 0.007
Na 0.281 0.750 0.507
Na 0.719 0.250 0.493
Na 0.781 0.750 0.993
Y 0.014 0.750 0.742
Y 0.486 0.250 0.242
Y 0.514 0.750 0.758
Y 0.986 0.250 0.258
Hg 0.238 0.750 0.214
Hg 0.262 0.250 0.714
Hg 0.738 0.750 0.286
Hg 0.762 0.250 0.786
Se 0.034 0.750 0.116
Se 0.071 0.250 0.604
Se 0.234 0.250 0.341
Se 0.266 0.750 0.841
Se 0.429 0.750 0.104
Se 0.466 0.250 0.616
Se 0.534 0.750 0.384
Se 0.571 0.250 0.896
Se 0.734 0.250 0.159
Se 0.766 0.750 0.659
Se 0.929 0.750 0.396
Se 0.966 0.250 0.884

Energy above the lowest structure with this stoichiometry, kJ/mol of atoms: 0.1
Crystal system: orthorhombic
Space-group type: Pnma (62)

---

Material: TbDy2In3Fe3
Method: DFT, GGA-PBE
State: optimized geometry

Lattice parameters (Å, degrees): 3.867 7.480 7.480 119.75 90.00 90.00
Element x y z (fractional)
Tb 0.000 0.000 0.000
Dy 0.000 0.412 0.820
Dy 0.000 0.820 0.412
In 0.500 0.153 0.411
In 0.500 0.411 0.153
In 0.500 0.668 0.668
Fe 0.000 0.411 0.411
Fe 0.500 0.078 0.744
Fe 0.500 0.744 0.078

Energy, eV/atom: -5.304
Crystal system: orthorhombic
Space-group type: Amm2 (38)

---

Material: TbTmAlSi2
Method: DFT, GGA-PBE
State: optimized geometry

Lattice parameters (Å, degrees): 5.575 5.575 5.575 137.22 118.50 77.81
Element x y z (fractional)
Tb 0.000 0.000 0.000
Tm 0.579 0.579 0.000
Al 0.289 0.789 0.500
Si 0.000 0.289 0.711
Si 0.578 0.289 0.289

Energy, eV/atom: -5.451
Crystal system: orthorhombic
Space-group type: Imm2 (44)

---

Material: Gd3Co2B2C3
Method: DFT, GGA-PBE
State: optimized geometry

Lattice parameters (Å, degrees): 10.627 10.627 10.627 160.58 160.58 27.60
Element x y z (fractional)
Gd 0.000 0.000 0.000
Gd 0.374 0.374 0.000
Gd 0.626 0.626 0.000
Co 0.250 0.750 0.500
Co 0.750 0.250 0.500
B 0.195 0.195 0.000
B 0.805 0.805 0.000
C 0.122 0.122 0.000
C 0.500 0.500 0.000
C 0.878 0.878 0.000

Energy, eV/atom: -7.197
Crystal system: tetragonal
Space-group type: I4/mmm (139)

---

Material: TePt
Method: DFT, GGA-PBE
State: optimized geometry

Lattice parameters (Å, degrees): 4.251 4.251 5.650 90.00 90.00 120.00
Element x y z (fractional)
Te 0.333 0.667 0.250
Te 0.667 0.333 0.750
Pt 0.000 0.000 0.000
Pt 0.000 0.000 0.500

Energy, eV/atom: -4.811
Crystal system: hexagonal
Space-group type: P6_3/mmc (194)

---

Material: Ni7Bi
Method: DFT, GGA-PBE
State: optimized geometry

Lattice parameters (Å, degrees): 2.876 2.876 31.481 90.00 90.00 90.00
Element x y z (fractional)
Ni 0.250 0.250 0.021
Ni 0.250 0.250 0.104
Ni 0.250 0.250 0.188
Ni 0.250 0.250 0.273
Ni 0.250 0.250 0.771
Ni 0.250 0.250 0.854
Ni 0.250 0.250 0.937
Ni 0.750 0.750 0.063
Ni 0.750 0.750 0.146
Ni 0.750 0.750 0.229
Ni 0.750 0.750 0.727
Ni 0.750 0.750 0.812
Ni 0.750 0.750 0.896
Ni 0.750 0.750 0.979
Bi 0.250 0.250 0.667
Bi 0.750 0.750 0.333

Energy, eV/atom: -5.188
Crystal system: tetragonal
Space-group type: P4/nmm (129)

---

Material: YZn5
Method: DFT, GGA-PBE
State: optimized geometry

Lattice parameters (Å, degrees): 8.877 8.877 9.035 90.00 90.00 120.00
Element x y z (fractional)
Y 0.188 0.377 0.250
Y 0.188 0.812 0.250
Y 0.377 0.188 0.750
Y 0.623 0.812 0.250
Y 0.812 0.188 0.750
Y 0.812 0.623 0.750
Zn 0.000 0.000 0.000
Zn 0.000 0.000 0.500
Zn 0.000 0.500 0.000
Zn 0.000 0.500 0.500
Zn 0.136 0.568 0.750
Zn 0.161 0.322 0.593
Zn 0.161 0.322 0.907
Zn 0.161 0.839 0.593
Zn 0.161 0.839 0.907
Zn 0.322 0.161 0.093
Zn 0.322 0.161 0.407
Zn 0.333 0.667 0.018
Zn 0.333 0.667 0.482
Zn 0.432 0.568 0.750
Zn 0.432 0.864 0.750
Zn 0.500 0.000 0.000
Zn 0.500 0.000 0.500
Zn 0.500 0.500 0.000
Zn 0.500 0.500 0.500
Zn 0.568 0.136 0.250
Zn 0.568 0.432 0.250
Zn 0.667 0.333 0.518
Zn 0.667 0.333 0.982
Zn 0.678 0.839 0.593
Zn 0.678 0.839 0.907
Zn 0.839 0.161 0.093
Zn 0.839 0.161 0.407
Zn 0.839 0.678 0.093
Zn 0.839 0.678 0.407
Zn 0.864 0.432 0.250

Crystal system: hexagonal
Space-group type: P6_3/mmc (194)
Energy of formation from the pure elements, eV per formula unit: -1.7

---

Material: SrHoHg
Method: DFT, GGA-PBE
State: optimized geometry

Lattice parameters (Å, degrees): 5.167 5.167 5.167 60.00 60.00 60.00
Element x y z (fractional)
Sr 0.000 0.000 0.000
Ho 0.750 0.750 0.750
Hg 0.500 0.500 0.500

Energy, eV/atom: -1.866
Crystal system: cubic
Space-group type: F-43m (216)

---

Material: LuCuBOs
Method: DFT, GGA-PBE
State: optimized geometry

Lattice parameters (Å, degrees): 4.388 4.388 4.388 60.00 60.00 60.00
Element x y z (fractional)
Lu 0.000 0.000 0.000
Cu 0.500 0.500 0.500
B 0.250 0.250 0.250
Os 0.750 0.750 0.750

Energy above the lowest structure with this stoichiometry, kJ/mol of atoms: 17.8
Crystal system: cubic
Space-group type: F-43m (216)

---

Material: SmPd3Pt2
Method: DFT, GGA-PBE
State: optimized geometry

Lattice parameters (Å, degrees): 5.357 5.357 4.448 90.00 90.00 120.00
Element x y z (fractional)
Sm 0.000 0.000 0.000
Pd 0.000 0.500 0.500
Pd 0.500 0.000 0.500
Pd 0.500 0.500 0.500
Pt 0.333 0.667 0.000
Pt 0.667 0.333 0.000

Crystal system: hexagonal
Space-group type: P6/mmm (191)
Energy of formation from the pure elements, eV per formula unit: -3.5

---

Material: AcSnHg2
Method: DFT, GGA-PBE
State: optimized geometry

Lattice parameters (Å, degrees): 5.819 5.819 5.008 115.40 115.40 50.51
Element x y z (fractional)
Ac 0.000 0.000 0.000
Sn 0.500 0.500 0.500
Hg 0.248 0.248 0.748
Hg 0.752 0.752 0.252

Energy, eV/atom: -2.629
Crystal system: monoclinic
Space-group type: C2/m (12)

---

Material: LuTcNiPb
Method: DFT, GGA-PBE
State: optimized geometry

Lattice parameters (Å, degrees): 4.670 4.670 4.670 60.00 60.00 60.00
Element x y z (fractional)
Lu 0.000 0.000 0.000
Tc 0.250 0.250 0.250
Ni 0.750 0.750 0.750
Pb 0.500 0.500 0.500

Energy above the lowest structure with this stoichiometry, kJ/mol of atoms: 0.0
Crystal system: cubic
Space-group type: F-43m (216)

---

Material: Zr3TlPb5
Method: DFT, GGA-PBE
State: optimized geometry

Lattice parameters (Å, degrees): 6.159 6.159 8.013 90.00 90.00 120.00
Element x y z (fractional)
Zr 0.000 0.500 0.000
Zr 0.500 0.000 0.000
Zr 0.500 0.500 0.000
Tl 0.000 0.000 0.500
Pb 0.000 0.000 0.000
Pb 0.333 0.667 0.314
Pb 0.333 0.667 0.686
Pb 0.667 0.333 0.314
Pb 0.667 0.333 0.686

Energy, eV/atom: -5.115
Crystal system: hexagonal
Space-group type: P6/mmm (191)

---

Material: CdFePdPb
Method: DFT, GGA-PBE
State: optimized geometry

Lattice parameters (Å, degrees): 4.709 4.709 4.709 60.00 60.00 60.00
Element x y z (fractional)
Cd 0.000 0.000 0.000
Fe 0.750 0.750 0.750
Pd 0.250 0.250 0.250
Pb 0.500 0.500 0.500

Energy above the lowest structure with this stoichiometry, kJ/mol of atoms: 0.0
Crystal system: cubic
Space-group type: F-43m (216)

---

Material: DyTeAs
Method: DFT, GGA-PBE
State: optimized geometry

Lattice parameters (Å, degrees): 7.557 4.052 11.099 90.00 90.00 90.00
Element x y z (fractional)
Dy 0.002 0.250 0.175
Dy 0.498 0.750 0.675
Dy 0.502 0.250 0.325
Dy 0.998 0.750 0.825
Te 0.235 0.750 0.450
Te 0.265 0.250 0.950
Te 0.735 0.750 0.050
Te 0.765 0.250 0.550
As 0.216 0.250 0.708
As 0.284 0.750 0.208
As 0.716 0.250 0.792
As 0.784 0.750 0.292

Energy, eV/atom: -5.051
Crystal system: orthorhombic
Space-group type: Pnma (62)

---

Material: DyTm2AlCd3Ga2
Method: DFT, GGA-PBE
State: optimized geometry

Lattice parameters (Å, degrees): 4.399 7.210 7.210 120.18 90.00 90.00
Element x y z (fractional)
Dy 0.000 0.000 0.000
Tm 0.000 0.133 0.567
Tm 0.000 0.567 0.133
Al 0.000 0.565 0.565
Cd 0.500 0.320 0.320
Cd 0.500 0.567 0.814
Cd 0.500 0.814 0.567
Ga 0.500 0.234 0.899
Ga 0.500 0.899 0.234

Energy, eV/atom: -3.363
Crystal system: orthorhombic
Space-group type: Amm2 (38)

---

Material: PaCuAs
Method: DFT, GGA-PBE
State: optimized geometry

Lattice parameters (Å, degrees): 4.660 4.660 4.660 60.00 60.00 60.00
Element x y z (fractional)
Pa 0.000 0.000 0.000
Cu 0.250 0.250 0.250
As 0.750 0.750 0.750

Energy, eV/atom: -6.021
Crystal system: cubic
Space-group type: F-43m (216)

---

Material: DyZnCd
Method: DFT, GGA-PBE
State: optimized geometry

Lattice parameters (Å, degrees): 4.653 4.653 4.653 60.00 60.00 60.00
Element x y z (fractional)
Dy 0.000 0.000 0.000
Zn 0.750 0.750 0.750
Cd 0.500 0.500 0.500

Crystal system: cubic
Space-group type: F-43m (216)
Energy of formation from the pure elements, eV per formula unit: -0.5